1.
# PBE BaLiEuCu, optimized geometry
data_BaLiEuCu
_cell_length_a 7.940
_cell_length_b 7.940
_cell_length_c 7.940
_cell_angle_alpha 90.00
_cell_angle_beta 90.00
_cell_angle_gamma 90.00
_symmetry_space_group_name_H-M 'F -4 3 m'
_symmetry_Int_Tables_number 216
_symmetry_space_group_name_Hall 'F -4 2 3'
loop_
_atom_site_label
_atom_site_type_symbol
_atom_site_fract_x
_atom_site_fract_y
_atom_site_fract_z
Ba1 Ba 0.000 0.000 0.000
Li1 Li 0.250 0.250 0.750
Eu1 Eu 0.000 0.000 0.500
Cu1 Cu 0.250 0.250 0.250
# * V: 31.3 Å³/atom
# * E_form: 0.085 eV per atom
# * size of the total moment: 31.124 μB/cell
# * final energy: -4.467 eV per atom



2.
# PBE Ce2SiHg, optimized geometry
data_Ce2SiHg
_cell_length_a 4.0321
_cell_length_b 4.0321
_cell_length_c 24.4616
_cell_angle_alpha 90.00
_cell_angle_beta 90.00
_cell_angle_gamma 120.00
_symmetry_space_group_name_H-M 'R -3 m'
_symmetry_Int_Tables_number 166
_symmetry_space_group_name_Hall '-R 3 2"'
loop_
_atom_site_label
_atom_site_type_symbol
_atom_site_fract_x
_atom_site_fract_y
_atom_site_fract_z
Ce1 Ce 0.0000 0.0000 0.2374
Si1 Si 0.0000 0.0000 0.5000
Hg1 Hg 0.0000 0.0000 0.0000
# * formation energy (no corrections): -299 meV per atom
# * V: 28.7 Å³/atom
# * size of the total moment: 5.288 μB/cell
# * final energy: -4.698 eV per atom



3.
# PBE PmPrErTm, optimized geometry
data_PmPrErTm
_cell_length_a 8.085
_cell_length_b 8.085
_cell_length_c 8.085
_cell_angle_alpha 90.00
_cell_angle_beta 90.00
_cell_angle_gamma 90.00
_symmetry_space_group_name_H-M 'F -4 3 m'
_symmetry_Int_Tables_number 216
_symmetry_space_group_name_Hall 'F -4 2 3'
loop_
_atom_site_label
_atom_site_type_symbol
_atom_site_fract_x
_atom_site_fract_y
_atom_site_fract_z
Pm1 Pm 0.000 0.000 0.000
Pr1 Pr 0.000 0.000 0.500
Er1 Er 0.250 0.250 0.250
Tm1 Tm 0.250 0.250 0.750
# * V: 33.0 Å³/atom
# * E_form: 0.100 eV per atom
# * size of the total moment: 0.000 μB/cell
# * final energy: -4.541 eV per atom



4.
# PBE K2CuNi, optimized geometry
data_K2CuNi
_cell_length_a 3.3228
_cell_length_b 3.3228
_cell_length_c 31.1245
_cell_angle_alpha 90.00
_cell_angle_beta 90.00
_cell_angle_gamma 120.00
_symmetry_space_group_name_H-M 'R -3 m'
_symmetry_Int_Tables_number 166
_symmetry_space_group_name_Hall '-R 3 2"'
loop_
_atom_site_label
_atom_site_type_symbol
_atom_site_fract_x
_atom_site_fract_y
_atom_site_fract_z
K1 K 0.0000 0.0000 0.2472
Cu1 Cu 0.0000 0.0000 0.0000
Ni1 Ni 0.0000 0.0000 0.5000
# * V: 24.8 Å³/atom
# * E_form: 0.902 eV per atom
# * size of the total moment: 0.142 μB/cell
# * final energy: -2.116 eV per atom